1.
Here is BaZn2Ir after structural relaxation from OQMD via LeMat-Bulk. Energies are from PBE.

abc: 7.069 7.069 7.069
angles: 90.00 90.00 90.00
Space group F-43m (No. 216)
Asymmetric unit:
Ba 0.000 0.000 0.000
Zn 0.000 0.000 0.500
Zn 0.250 0.250 0.750
Ir 0.250 0.250 0.250

Properties
* electronic total energy: -12.0 eV/f.u.


2.
Here is BaZrIr after structural relaxation from OQMD via LeMat-Bulk. Energies are from PBE.

abc: 6.778 6.778 6.778
angles: 90.00 90.00 90.00
Space group F-43m (No. 216)
Asymmetric unit:
Ba 0.000 0.000 0.000
Zr 0.250 0.250 0.250
Ir 0.250 0.250 0.750

Properties
* electronic total energy: -15.6 eV/f.u.
* energy relative to the lowest polymorph listed for this composition: 2.98 eV/f.u.


3.
Here is BaZrIr2 after structural relaxation from OQMD via LeMat-Bulk. Energies are from PBE.

abc: 6.857 6.857 6.857
angles: 90.00 90.00 90.00
Space group F-43m (No. 216)
Asymmetric unit:
Ba 0.000 0.000 0.000
Zr 0.250 0.250 0.250
Ir 0.000 0.000 0.500
Ir 0.250 0.250 0.750

Properties
* electronic total energy: -26.7 eV/f.u.


4.
Here is BaZr2Ir after structural relaxation from OQMD via LeMat-Bulk. Energies are from PBE.

abc: 7.231 7.231 7.231
angles: 90.00 90.00 90.00
Space group F-43m (No. 216)
Asymmetric unit:
Ba 0.000 0.000 0.000
Zr 0.000 0.000 0.500
Zr 0.250 0.250 0.750
Ir 0.250 0.250 0.250

Properties
* electronic total energy: -25.9 eV/f.u.


5.
Here is Ba2ZrIr after structural relaxation from OQMD via LeMat-Bulk. Energies are from PBE.

abc: 7.621 7.621 7.621
angles: 90.00 90.00 90.00
Space group F-43m (No. 216)
Asymmetric unit:
Ba 0.000 0.000 0.000
Ba 0.250 0.250 0.250
Zr 0.000 0.000 0.500
Ir 0.250 0.250 0.750

Properties
* electronic total energy: -18.9 eV/f.u.


6.
Here is KBaLuS3 after structural relaxation from OQMD via LeMat-Bulk. Energies are from PBE.

abc: 4.104 18.852 11.616
angles: 90.00 90.00 90.00
Space group Cmcm (No. 63)
Asymmetric unit:
K 0.000 0.117 0.250
Ba 0.000 0.121 0.750
Lu 0.000 0.500 0.000
S 0.000 0.095 0.001
S 0.000 0.492 0.250

Properties
* electronic total energy: -29.6 eV/f.u.


7.
Here is K4BaNaPd2 after structural relaxation from OQMD via LeMat-Bulk. Energies are from PBE.

abc: 10.624 4.905 11.753
angles: 90.00 90.00 90.00
Space group Amm2 (No. 38)
Asymmetric unit:
K 0.167 0.000 0.000
K 0.298 0.000 0.302
Ba 0.500 0.000 0.587
Na 0.000 0.000 0.714
Pd 0.000 0.000 0.370
Pd 0.500 0.000 0.914

Properties
* electronic total energy: -17.8 eV/f.u.


8.
Here is KBa2Nb5O15 after structural relaxation from OQMD via LeMat-Bulk. Energies are from PBE.

abc: 12.589 12.589 4.046
angles: 90.00 90.00 90.00
Space group P4bm (No. 100)
Asymmetric unit:
K 0.000 0.000 0.000
Ba 0.171 0.329 0.005
Nb 0.000 0.500 0.521
Nb 0.076 0.790 0.518
O 0.000 0.500 0.981
O 0.007 0.343 0.469
O 0.069 0.142 0.473
O 0.079 0.791 0.979
O 0.220 0.720 0.478

Properties
* electronic total energy: -191.1 eV/f.u.


- Which value of electronic total energy does entry 5 give?
  -18.9 eV/f.u.